# 1
Here is an optimized crystal structure of Nd8DyTh2 from Alexandria. Energies are from PBE-GGA.

```
data_Nd8DyTh2
_cell_length_a 9.4624
_cell_length_b 9.4624
_cell_length_c 6.0708
_cell_angle_alpha 105.37
_cell_angle_beta 105.37
_cell_angle_gamma 122.32
_space_group_name_H-M_alt 'P 1'
_space_group_IT_number 1
loop_
_space_group_symop_operation_xyz
'x,y,z'
loop_
_atom_site_label
_atom_site_type_symbol
_atom_site_fract_x
_atom_site_fract_y
_atom_site_fract_z
Nd1 Nd 0.1000 0.3339 0.6777
Nd2 Nd 0.2069 0.7931 0.0000
Nd3 Nd 0.3339 0.1000 0.6777
Nd4 Nd 0.4197 0.4197 0.2064
Nd5 Nd 0.5803 0.5803 0.7936
Nd6 Nd 0.6661 0.9000 0.3223
Nd7 Nd 0.7931 0.2069 0.0000
Nd8 Nd 0.9000 0.6661 0.3223
Dy1 Dy 0.0000 0.0000 0.0000
Th1 Th 0.3073 0.6927 0.5000
Th2 Th 0.6927 0.3073 0.5000
```

SG: C2/m, No. 12
Total moment in μB/atom: 0.000
Electronic total energy in eV for the cell shown: -55.44

***

# 2
Here is an optimized crystal structure of Ac3In3Pd2 from Alexandria. Energies are from PBE-GGA.

```
data_Ac3In3Pd2
_cell_length_a 6.1729
_cell_length_b 6.1729
_cell_length_c 17.0674
_cell_angle_alpha 90.00
_cell_angle_beta 90.00
_cell_angle_gamma 134.73
_space_group_name_H-M_alt 'P 1'
_space_group_IT_number 1
loop_
_space_group_symop_operation_xyz
'x,y,z'
loop_
_atom_site_label
_atom_site_type_symbol
_atom_site_fract_x
_atom_site_fract_y
_atom_site_fract_z
Ac1 Ac 0.0608 0.9392 0.6089
Ac2 Ac 0.0608 0.9392 0.8911
Ac3 Ac 0.3400 0.6600 0.7500
Ac4 Ac 0.6600 0.3400 0.2500
Ac5 Ac 0.9392 0.0608 0.1089
Ac6 Ac 0.9392 0.0608 0.3911
In1 In 0.3485 0.6515 0.5342
In2 In 0.3485 0.6515 0.9658
In3 In 0.3667 0.6333 0.2500
In4 In 0.6333 0.3667 0.7500
In5 In 0.6515 0.3485 0.0342
In6 In 0.6515 0.3485 0.4658
Pd1 Pd 0.2213 0.7787 0.1129
Pd2 Pd 0.2213 0.7787 0.3871
Pd3 Pd 0.7787 0.2213 0.6129
Pd4 Pd 0.7787 0.2213 0.8871
```

SG: Cmcm, No. 63
Total moment in μB/atom: 0.000
Electronic total energy in eV for the cell shown: -71.89

***

# 3
Here is an optimized crystal structure of NaPr2Dy from Alexandria. Energies are from PBE-GGA.

```
data_NaPr2Dy
_cell_length_a 6.0085
_cell_length_b 6.0085
_cell_length_c 3.7722
_cell_angle_alpha 90.00
_cell_angle_beta 90.00
_cell_angle_gamma 90.00
_space_group_name_H-M_alt 'P 1'
_space_group_IT_number 1
loop_
_space_group_symop_operation_xyz
'x,y,z'
loop_
_atom_site_label
_atom_site_type_symbol
_atom_site_fract_x
_atom_site_fract_y
_atom_site_fract_z
Na1 Na 0.0000 0.0000 0.0000
Pr1 Pr 0.0000 0.5000 0.5000
Pr2 Pr 0.5000 0.0000 0.5000
Dy1 Dy 0.5000 0.5000 0.0000
```

SG: P4/mmm, No. 123
Total moment in μB/atom: 0.000
Electronic total energy in eV for the cell shown: -14.75

***

# 4
Here is an optimized crystal structure of AcHo2Er4Tm from Alexandria. Energies are from PBE-GGA.

```
data_AcHo2Er4Tm
_cell_length_a 5.0346
_cell_length_b 5.0517
_cell_length_c 10.0986
_cell_angle_alpha 90.00
_cell_angle_beta 90.00
_cell_angle_gamma 90.00
_space_group_name_H-M_alt 'P 1'
_space_group_IT_number 1
loop_
_space_group_symop_operation_xyz
'x,y,z'
loop_
_atom_site_label
_atom_site_type_symbol
_atom_site_fract_x
_atom_site_fract_y
_atom_site_fract_z
Ac1 Ac 0.0000 0.0000 0.0000
Ho1 Ho 0.0000 0.0000 0.5000
Ho2 Ho 0.5000 0.5000 0.0000
Er1 Er 0.0000 0.5000 0.2595
Er2 Er 0.0000 0.5000 0.7405
Er3 Er 0.5000 0.0000 0.2597
Er4 Er 0.5000 0.0000 0.7403
Tm1 Tm 0.5000 0.5000 0.5000
```

SG: Pmmm, No. 47
Total moment in μB/atom: 0.000
Electronic total energy in eV for the cell shown: -35.59

***

These records have ΔE_f values of 0.195, -0.627, 0.183, 0.050 eV/atom, in the order they appear.